Version w
Li2YIr2 | Alexandria | PBEsol | relaxed; Fermi-level density of states = 7.56 states/eV/f.u.
1.0
-3.6650 1.1990 0.5458
-1.2814 -3.6191 -0.6541
2.9105 0.0730 5.4891
Y Ir Li
1 2 2
direct
0.0000 0.0000 0.0000
0.3911 0.3911 0.7821
0.6089 0.6089 0.2179
0.2500 0.7500 0.5000
0.7500 0.2500 0.5000

Version x
Li2YIr2 | Alexandria | PBEsol | relaxed; Fermi-level density of states = 3.91 states/eV/f.u.
1.0
-2.5313 -0.5309 -1.3783
3.5591 -1.4667 -5.9714
0.3919 -6.8314 1.9115
Y Ir Li
2 4 4
direct
0.0000 0.0000 0.0000
0.0000 0.5000 0.5000
0.5000 0.1861 0.6861
0.5000 0.6861 0.8139
0.5000 0.8139 0.3139
0.5000 0.3139 0.1861
0.0000 0.3903 0.8903
0.0000 0.8903 0.6097
0.0000 0.6097 0.1097
0.0000 0.1097 0.3903

Which is most stable? The ranking, best first, is version x, version w.

Version w
Li2YIr | Alexandria | PBEsol | relaxed; Fermi-level density of states = 1.38 states/eV/f.u.
1.0
-0.1349 3.4319 1.8862
-3.9160 -0.1015 -0.0953
1.9867 -3.7819 2.9530
Y Ir Li
1 1 2
direct
0.5000 0.5000 0.0000
0.0000 0.0000 0.0000
0.7500 0.2500 0.5000
0.2500 0.7500 0.5000

Version x
Li2YIr | Alexandria | PBEsol | relaxed; Fermi-level density of states = 0.83 states/eV/f.u.
1.0
-2.5912 -2.0906 2.8641
1.4232 -3.6449 1.9942
1.1846 0.4083 4.7370
Y Ir Li
1 1 2
direct
0.5059 0.5059 0.4822
0.2767 0.2767 0.1698
0.9945 0.9945 0.0166
0.7225 0.7225 0.8325

Which is most stable? The ranking, best first, is version w, version x.

Version w
LiZn2Ir | Alexandria | PBEsol | relaxed; Fermi-level density of states = 1.01 states/eV/f.u.
1.0
-1.7372 0.7368 -3.7676
0.0466 -3.9110 1.5700
-3.5853 -1.7895 1.3032
Zn Ir Li
2 1 1
direct
0.2500 0.5000 0.2500
0.7500 0.5000 0.7500
0.5000 0.0000 0.5000
0.0000 0.0000 0.0000

Version x
LiZn2Ir | Alexandria | PBEsol | relaxed; Fermi-level density of states = 2.77 states/eV/f.u.
1.0
-0.0286 -2.6853 -2.4223
0.4696 -2.4046 2.6602
-8.9118 1.8336 0.7722
Zn Ir Li
4 2 2
direct
0.3648 0.8750 0.2500
0.8852 0.3750 0.2500
0.1250 0.1148 0.7500
0.6250 0.6352 0.7500
0.2500 0.7500 0.5000
0.0000 0.0000 0.0000
0.7500 0.2500 0.5000
0.5000 0.5000 0.0000

Which is most stable? The ranking, best first, is version w, version x.

Version w
MgP2IrS | Alexandria | PBEsol | relaxed; Fermi-level density of states = 3.44 states/eV/f.u.
1.0
-1.5653 4.0205 0.6317
-3.3326 -0.8681 -2.7329
-2.3941 -1.4638 3.3844
P S Ir Mg
2 1 1 1
direct
0.0000 0.0000 0.5000
0.0000 0.5000 0.0000
0.0000 0.0000 0.0000
0.5000 0.5000 0.5000
0.5000 0.0000 0.0000

Version x
MgP2IrS | Alexandria | PBEsol | relaxed; Fermi-level density of states = 4.78 states/eV/f.u.
1.0
-2.3553 3.6069 1.2818
-3.2416 -2.7024 1.6478
2.0931 -0.0610 4.0177
P S Ir Mg
2 1 1 1
direct
0.0000 0.0000 0.5000
0.0000 0.5000 0.0000
0.5000 0.0000 0.0000
0.5000 0.5000 0.5000
0.0000 0.0000 0.0000

Which is most stable? The ranking, best first, is version w, version x.

Version w
MgIrSe | Alexandria | PBEsol | relaxed; Fermi-level density of states = 2.42 states/eV/f.u.
1.0
2.9999 0.0000 0.0000
0.0000 2.9999 0.0000
-1.5000 -1.5000 5.5422
Mg Ir Se
1 1 1
direct
0.6540 0.6540 0.3080
0.9950 0.9950 0.9900
0.3510 0.3510 0.7021

Version x
MgIrSe | Alexandria | PBEsol | relaxed; Fermi-level density of states = 2.39 states/eV/f.u.
1.0
4.2565 0.0000 0.0000
2.1282 3.6862 0.0000
2.1282 1.2287 3.4754
Mg Ir Se
1 1 1
direct
0.0000 0.0000 0.0000
0.2500 0.2500 0.2500
0.5000 0.5000 0.5000

Which is most stable? The ranking, best first, is version x, version w.

Version w
SrMg3Ir | Alexandria | PBEsol | relaxed; Fermi-level density of states = 1.97 states/eV/f.u.
1.0
-3.4043 1.0841 -3.5604
2.7234 -2.5631 -3.3844
-2.5367 -4.2067 1.1445
Sr Mg Ir
1 3 1
direct
0.5000 0.5000 0.5000
0.0000 0.5000 0.0000
0.0000 0.0000 0.5000
0.5000 0.0000 0.0000
0.0000 0.0000 0.0000

Version x
SrMg3Ir | Alexandria | PBEsol | relaxed; Fermi-level density of states = 8.36 states/eV/f.u.
1.0
-0.2612 3.2137 -4.6371
-5.6359 -0.3629 0.0660
-0.2604 4.6303 3.2236
Sr Mg Ir
1 3 1
direct
0.0000 0.0000 0.0000
0.0000 0.5000 0.0000
0.0000 0.0000 0.5000
0.5000 0.0000 0.0000
0.5000 0.5000 0.5000

Which is most stable? The ranking, best first, is version w, version x.

Version w
Mg2TaIr | Alexandria | PBEsol | relaxed; Fermi-level density of states = 3.18 states/eV/f.u.
1.0
-3.2977 -3.1292 2.5071
1.5785 -5.7113 0.3229
0.9147 -0.5972 5.8328
Mg Ir Ta
4 2 2
direct
0.0845 0.0405 0.5405
0.6655 0.9595 0.4595
0.3750 0.5405 0.9595
0.8750 0.4595 0.0405
0.7500 0.5000 0.5000
0.0000 0.0000 0.0000
0.2500 0.5000 0.5000
0.5000 0.0000 0.0000

Version x
Mg2TaIr | Alexandria | PBEsol | relaxed; Fermi-level density of states = 1.88 states/eV/f.u.
1.0
-1.2204 3.0876 1.2270
-2.1953 -2.0040 2.8592
3.5240 0.2485 2.8799
Ir Mg Ta
1 2 1
direct
0.0000 0.5000 0.5000
0.0000 0.0000 0.0000
0.5000 0.5000 0.0000
0.5000 0.0000 0.5000

Version y
Mg2TaIr | Alexandria | PBEsol | relaxed; Fermi-level density of states = 2.49 states/eV/f.u.
1.0
2.8042 0.0000 0.0000
0.0000 5.2449 -0.0120
0.0000 -2.5732 4.5703
Ir Mg Ta
1 2 1
direct
0.5000 0.5000 0.5000
0.0000 0.5000 0.0000
0.0000 0.0000 0.5000
0.5000 0.0000 0.0000

Version z
Mg2TaIr | Alexandria | PBEsol | relaxed; Fermi-level density of states = 3.33 states/eV/f.u.
1.0
4.5113 0.0000 0.0000
2.2556 3.9069 0.0000
2.2556 1.3023 3.6834
Ir Mg Ta
1 2 1
direct
0.0000 0.0000 0.0000
0.2500 0.2500 0.2500
0.7500 0.7500 0.7500
0.5000 0.5000 0.5000

Which is most stable? The ranking, best first, is version x, version y, version z, version w.

Version w
MnReIr2 | Alexandria | PBEsol | relaxed; Fermi-level density of states = 3.16 states/eV/f.u.
1.0
2.6928 0.0000 0.0000
0.0000 3.7722 0.0000
0.0000 0.0000 5.3416
Re Ir Mn
1 2 1
direct
0.5000 0.5000 0.5000
0.0000 0.0000 0.7540
0.0000 0.0000 0.2460
0.5000 0.5000 0.0000

Version x
MnReIr2 | Alexandria | PBEsol | relaxed; Fermi-level density of states = 2.85 states/eV/f.u.
1.0
-2.0426 -1.4737 0.9306
0.8929 -3.0231 -2.8277
2.8771 -2.0382 3.0876
Re Ir Mn
1 2 1
direct
0.5000 0.5000 0.2192
0.0000 0.0000 0.0415
0.0000 0.5000 0.6980
0.5000 0.0000 0.5413

Version y
MnReIr2 | Alexandria | PBEsol | relaxed; Fermi-level density of states = 2.54 states/eV/f.u.
1.0
-0.7719 -2.3822 -0.9762
3.5793 -2.0277 2.1179
-3.6506 0.0181 2.8427
Re Ir Mn
1 2 1
direct
0.5000 0.0000 0.0000
0.0000 0.0000 0.5000
0.0000 0.5000 0.0000
0.5000 0.5000 0.5000

Version z
MnReIr2 | Alexandria | PBEsol | relaxed; Fermi-level density of states = 7.30 states/eV/f.u.
1.0
-1.8104 -1.8110 3.4695
2.1036 -3.0737 2.1730
1.5690 0.8276 3.9304
Ir Mn Re
2 1 1
direct
0.2500 0.2500 0.2500
0.7500 0.7500 0.7500
0.0000 0.0000 0.0000
0.5000 0.5000 0.5000

Which is most stable? The ranking, best first, is version x, version w, version y, version z.

Version w
MnSb2Ir | Alexandria | PBEsol | relaxed; Fermi-level density of states = 2.87 states/eV/f.u.
1.0
-2.6222 1.8976 -2.2081
1.1731 -2.0311 -3.1386
-2.4966 -3.2714 3.6297
Ir Mn Sb
1 1 2
direct
0.5000 0.5000 0.0000
0.2500 0.7500 0.5000
0.0000 0.0000 0.0000
0.7500 0.2500 0.5000

Version x
MnSb2Ir | Alexandria | PBEsol | relaxed; Fermi-level density of states = 2.50 states/eV/f.u.
1.0
5.9133 0.0000 0.0000
0.0000 5.9133 0.0000
-2.9567 -2.9567 5.9888
Sb Ir Mn
4 2 2
direct
0.3623 0.8750 0.2500
0.8877 0.3750 0.2500
0.1250 0.1123 0.7500
0.6250 0.6377 0.7500
0.2500 0.7500 0.5000
0.0000 0.0000 0.0000
0.7500 0.2500 0.5000
0.5000 0.5000 0.0000

Which is most stable? The ranking, best first, is version w, version x.

Version w
YMn2Ir | Alexandria | PBEsol | relaxed; Fermi-level density of states = 5.00 states/eV/f.u.
1.0
-0.6010 -0.6167 -3.0020
-0.9300 -2.8783 0.7774
-6.3228 2.2594 0.8016
Ir Mn Y
1 2 1
direct
0.5000 0.5000 0.5000
0.0000 0.0000 0.6990
0.0000 0.0000 0.3010
0.5000 0.5000 0.0000

Version x
YMn2Ir | Alexandria | PBEsol | relaxed; Fermi-level density of states = 3.03 states/eV/f.u.
1.0
4.5182 -0.0340 -0.0488
-2.2251 3.9324 0.0488
-2.2251 -1.3148 3.7064
Ir Mn Y
1 2 1
direct
0.5000 0.7500 0.2500
0.0000 0.0000 0.0000
0.5000 0.2500 0.7500
0.0000 0.5000 0.5000

Which is most stable? The ranking, best first, is version x, version w.

Version w
MnZnIr3 | Alexandria | PBEsol | relaxed; Fermi-level density of states = 6.20 states/eV/f.u.
1.0
-2.6627 -0.4700 3.4688
3.3262 -1.6975 2.3233
1.0906 4.0299 1.3832
Zn Ir Mn
1 3 1
direct
0.5000 0.5000 0.5000
0.0000 0.5000 0.0000
0.0000 0.0000 0.5000
0.5000 0.0000 0.0000
0.0000 0.0000 0.0000

Version x
MnZnIr3 | Alexandria | PBEsol | relaxed; Fermi-level density of states = 6.37 states/eV/f.u.
1.0
4.4381 0.0000 0.0000
0.0000 4.4381 0.0000
0.0000 0.0000 4.4381
Zn Ir Mn
1 3 1
direct
0.0000 0.0000 0.0000
0.0000 0.5000 0.0000
0.0000 0.0000 0.5000
0.5000 0.0000 0.0000
0.5000 0.5000 0.5000

Which is most stable? The ranking, best first, is version w, version x.

Version w
MoIr5 | Alexandria | PBEsol | relaxed; Fermi-level density of states = 5.36 states/eV/f.u.
1.0
2.7343 0.0000 0.0000
-1.3671 4.9815 0.0021
0.0000 -1.5620 6.2565
Mo Ir
1 5
direct
0.7218 0.4436 0.9455
0.0003 0.0006 0.9991
0.3863 0.7727 0.2714
0.6677 0.3353 0.3332
0.0582 0.1165 0.6161
0.3323 0.6646 0.6681

Version x
MoIr5 | Alexandria | PBEsol | relaxed; Fermi-level density of states = 4.20 states/eV/f.u.
1.0
4.3584 0.0000 0.0000
0.0000 4.7476 0.0000
0.0000 -2.3738 4.1116
Mo Ir
1 5
direct
0.5000 0.0000 0.0000
0.0000 0.3368 0.3368
0.0000 0.6632 0.0000
0.0000 0.0000 0.6632
0.5000 0.3333 0.6667
0.5000 0.6667 0.3333

Which is most stable? The ranking, best first, is version x, version w.